{
  "formula": "KBa2Cd2",
  "functional": "PBEsol",
  "state": "relaxed",
  "lattice": [[-2.7195, 3.0689, 1.6855], [-7.5938, -5.0353, -3.0843], [-0.2207, -4.7790, 8.3454]],
  "species": ["K", "K", "Ba", "Ba", "Ba", "Ba", "Cd", "Cd", "Cd", "Cd"],
  "fractional_positions": [[0.0000, 0.0000, 0.0000], [0.0000, 0.5000, 0.5000], [0.5000, 0.1566, 0.6566], [0.5000, 0.6566, 0.8434], [0.5000, 0.8434, 0.3434], [0.5000, 0.3434, 0.1566], [0.0000, 0.3702, 0.8702], [0.0000, 0.8702, 0.6298], [0.0000, 0.6298, 0.1298], [0.0000, 0.1298, 0.3702]],
  "dft_energy_ev_per_atom": -1.71,
  "formation_enthalpy_0k_ev_per_atom": -0.1464,
  "magmom_total_mub_per_fu": 0.00
}

{
  "formula": "AgTeMoI2",
  "functional": "PBEsol",
  "state": "relaxed",
  "lattice": [[5.1417, 0.0000, 0.0000], [0.0000, 5.5485, 0.0000], [0.0000, 0.0000, 5.5485]],
  "species": ["I", "I", "Mo", "Te", "Ag"],
  "fractional_positions": [[0.0000, 0.0000, 0.5000], [0.0000, 0.5000, 0.0000], [0.0000, 0.0000, 0.0000], [0.5000, 0.0000, 0.0000], [0.5000, 0.5000, 0.5000]],
  "dft_energy_ev_per_atom": -3.83,
  "e_form_raw_ev_per_atom": 0.6021,
  "magmom_total_mub_per_fu": 2.02
}

{
  "formula": "Zn2Ge3O8",
  "functional": "PBEsol",
  "state": "relaxed",
  "lattice": [[-3.3090, 6.2412, -4.2397], [-7.1844, -1.1924, 3.8520], [2.3044, 5.2443, 5.9214]],
  "species": ["Zn", "Zn", "Zn", "Zn", "Zn", "Zn", "Zn", "Zn", "Ge", "Ge", "Ge", "Ge", "Ge", "Ge", "Ge", "Ge", "Ge", "Ge", "Ge", "Ge", "O", "O", "O", "O", "O", "O", "O", "O", "O", "O", "O", "O", "O", "O", "O", "O", "O", "O", "O", "O", "O", "O", "O", "O", "O", "O", "O", "O", "O", "O", "O", "O"],
  "fractional_positions": [[0.2484, 0.2484, 0.2484], [0.9984, 0.5016, 0.4984], [0.5016, 0.4984, 0.9984], [0.4984, 0.9984, 0.5016], [0.7484, 0.2516, 0.7516], [0.2516, 0.7516, 0.7484], [0.7516, 0.7484, 0.2516], [0.0016, 0.0016, 0.0016], [0.6250, 0.1296, 0.1204], [0.6204, 0.8750, 0.8704], [0.6296, 0.3796, 0.3750], [0.3704, 0.8796, 0.1250], [0.8796, 0.1250, 0.3704], [0.1204, 0.6250, 0.1296], [0.3796, 0.3750, 0.6296], [0.8704, 0.6204, 0.8750], [0.1296, 0.1204, 0.6250], [0.3750, 0.6296, 0.3796], [0.8750, 0.8704, 0.6204], [0.1250, 0.3704, 0.8796], [0.8618, 0.8618, 0.8618], [0.6118, 0.8882, 0.1118], [0.8882, 0.1118, 0.6118], [0.1118, 0.6118, 0.8882], [0.3618, 0.6382, 0.1382], [0.6382, 0.1382, 0.3618], [0.1382, 0.3618, 0.6382], [0.3882, 0.3882, 0.3882], [0.1501, 0.8546, 0.1111], [0.6501, 0.6454, 0.8889], [0.8546, 0.1111, 0.1501], [0.1454, 0.6111, 0.3499], [0.1111, 0.1501, 0.8546], [0.3889, 0.8499, 0.3546], [0.4001, 0.8611, 0.8954], [0.9001, 0.6389, 0.1046], [0.5999, 0.3611, 0.6046], [0.6389, 0.1046, 0.9001], [0.6046, 0.5999, 0.3611], [0.1046, 0.9001, 0.6389], [0.0999, 0.1389, 0.3954], [0.8499, 0.3546, 0.3889], [0.3499, 0.1454, 0.6111], [0.6454, 0.8889, 0.6501], [0.3546, 0.3889, 0.8499], [0.6111, 0.3499, 0.1454], [0.8889, 0.6501, 0.6454], [0.3954, 0.0999, 0.1389], [0.1389, 0.3954, 0.0999], [0.3611, 0.6046, 0.5999], [0.8954, 0.4001, 0.8611], [0.8611, 0.8954, 0.4001]],
  "dft_energy_ev_per_atom": -6.26,
  "e_form_raw_ev_per_atom": -1.6471,
  "magmom_total_mub_per_fu": 0.00
}

{
  "formula": "LiCrCl3",
  "functional": "PBEsol",
  "state": "relaxed",
  "lattice": [[4.5447, 0.0000, 0.0000], [0.0000, 4.5447, 0.0000], [0.0000, 0.0000, 4.5447]],
  "species": ["Cr", "Li", "Cl", "Cl", "Cl"],
  "fractional_positions": [[0.5000, 0.5000, 0.5000], [0.0000, 0.0000, 0.0000], [0.0000, 0.5000, 0.0000], [0.0000, 0.0000, 0.5000], [0.5000, 0.0000, 0.0000]],
  "dft_energy_ev_per_atom": -4.15,
  "e_form_raw_ev_per_atom": -0.5001,
  "magmom_total_mub_per_fu": 4.00
}

{
  "formula": "Be4TeW",
  "functional": "PBEsol",
  "state": "relaxed",
  "lattice": [[-4.3220, -0.6377, 1.3715], [-1.5006, -4.2199, 0.9527], [-0.8744, -1.1951, 4.3329]],
  "species": ["Be", "Be", "Be", "Be", "Te", "W"],
  "fractional_positions": [[0.3708, 0.3708, 0.3708], [0.3708, 0.3708, 0.8875], [0.8875, 0.3708, 0.3708], [0.3708, 0.8875, 0.3708], [0.7500, 0.7500, 0.7500], [0.0000, 0.0000, 0.0000]],
  "dft_energy_ev_per_atom": -5.33,
  "e_form_raw_ev_per_atom": 0.2251,
  "magmom_total_mub_per_fu": 0.00
}

{
  "formula": "Ta2CdPt",
  "functional": "PBEsol",
  "state": "relaxed",
  "lattice": [[-1.7276, 0.5287, 2.2672], [3.1010, -2.4727, 2.9395], [1.7761, 5.1367, -1.6980]],
  "species": ["Cd", "Pt", "Ta", "Ta"],
  "fractional_positions": [[0.5140, 0.5140, 0.0281], [0.2653, 0.7653, 0.5306], [0.9902, 0.9902, 0.9804], [0.7304, 0.2304, 0.4609]],
  "dft_energy_ev_per_atom": -8.36,
  "formation_enthalpy_0k_ev_per_atom": -0.0416,
  "magmom_total_mub_per_fu": 0.00
}

{
  "formula": "CaSiNO2",
  "functional": "PBEsol",
  "state": "relaxed",
  "lattice": [[-0.4229, -3.2803, -1.3754], [-0.4425, -1.3475, 3.3496], [-3.5849, 0.5654, -0.2462]],
  "species": ["Ca", "Si", "O", "O", "N"],
  "fractional_positions": [[0.5000, 0.5000, 0.5000], [0.0000, 0.0000, 0.0000], [0.0000, 0.0000, 0.5000], [0.0000, 0.5000, 0.0000], [0.5000, 0.0000, 0.0000]],
  "dft_energy_ev_per_atom": -7.35,
  "e_form_raw_ev_per_atom": -1.9728,
  "magmom_total_mub_per_fu": 0.26
}

{
  "formula": "BeInAs2",
  "functional": "PBEsol",
  "state": "relaxed",
  "lattice": [[-2.6925, -1.9196, -0.8264], [1.3383, -0.5130, -3.1685], [3.7490, -4.0158, 4.1420]],
  "species": ["Be", "As", "As", "In"],
  "fractional_positions": [[0.4630, 0.4630, 0.9261], [0.0043, 0.0043, 0.0086], [0.8402, 0.3402, 0.6805], [0.1924, 0.6924, 0.3848]],
  "dft_energy_ev_per_atom": -4.10,
  "formation_enthalpy_0k_ev_per_atom": 0.1951,
  "magmom_total_mub_per_fu": 0.00
}

{
  "formula": "TlInOs2",
  "functional": "PBEsol",
  "state": "relaxed",
  "lattice": [[-2.3873, 1.6698, 0.4132], [-2.6157, -0.8985, -1.0045], [-3.3186, -4.1408, 8.0359]],
  "species": ["In", "Os", "Os", "Tl"],
  "fractional_positions": [[0.2586, 0.2586, 0.2241], [0.0059, 0.0059, 0.9824], [0.7419, 0.7419, 0.7743], [0.4936, 0.4936, 0.5192]],
  "de_polymorph_mev_per_atom": 169,
  "dft_energy_ev_per_atom": -6.91,
  "formation_enthalpy_0k_ev_per_atom": 0.6043,
  "magmom_total_mub_per_fu": 0.00
}

{
  "formula": "Li2CdIn",
  "functional": "PBEsol",
  "state": "relaxed",
  "lattice": [[-1.3100, -3.1631, -3.2285], [-3.3201, -3.1730, 1.0264], [-4.2462, 0.3048, -2.0053]],
  "species": ["Li", "Li", "In", "Cd"],
  "fractional_positions": [[0.7500, 0.7500, 0.7500], [0.0000, 0.0000, 0.0000], [0.5000, 0.5000, 0.5000], [0.2500, 0.2500, 0.2500]],
  "dft_energy_ev_per_atom": -2.35,
  "formation_enthalpy_0k_ev_per_atom": -0.3253,
  "magmom_total_mub_per_fu": 0.00
}

{
  "formula": "NaTaO3",
  "functional": "PBEsol",
  "state": "relaxed",
  "lattice": [[-0.9194, -5.3819, 0.3423], [4.4810, -0.5628, 3.1884], [-4.3719, 1.1505, 6.3473]],
  "species": ["Na", "Na", "Na", "Na", "O", "O", "O", "O", "O", "O", "O", "O", "O", "O", "O", "O", "Ta", "Ta", "Ta", "Ta"],
  "fractional_positions": [[0.5034, 0.9778, 0.2500], [0.9966, 0.4778, 0.2500], [0.4966, 0.0222, 0.7500], [0.0034, 0.5222, 0.7500], [0.7126, 0.2134, 0.4669], [0.7874, 0.7134, 0.0331], [0.7874, 0.7134, 0.4669], [0.7126, 0.2134, 0.0331], [0.2874, 0.7866, 0.5331], [0.2126, 0.2866, 0.9669], [0.2126, 0.2866, 0.5331], [0.2874, 0.7866, 0.9669], [0.9350, 0.9875, 0.7500], [0.5650, 0.4875, 0.7500], [0.0650, 0.0125, 0.2500], [0.4350, 0.5125, 0.2500], [0.5000, 0.5000, 0.0000], [0.0000, 0.0000, 0.5000], [0.0000, 0.0000, 0.0000], [0.5000, 0.5000, 0.5000]],
  "dft_energy_ev_per_atom": -8.60,
  "e_form_raw_ev_per_atom": -2.6643,
  "magmom_total_mub_per_fu": 0.00
}

{
  "formula": "Ti3PdO",
  "functional": "PBEsol",
  "state": "relaxed",
  "lattice": [[4.0542, 0.0000, 0.0000], [0.0000, 4.0542, 0.0000], [0.0000, 0.0000, 4.0542]],
  "species": ["Pd", "O", "Ti", "Ti", "Ti"],
  "fractional_positions": [[0.5000, 0.5000, 0.5000], [0.0000, 0.0000, 0.0000], [0.0000, 0.5000, 0.0000], [0.0000, 0.0000, 0.5000], [0.5000, 0.0000, 0.0000]],
  "dft_energy_ev_per_atom": -8.59,
  "e_form_raw_ev_per_atom": -1.3598,
  "magmom_total_mub_per_fu": 0.32
}

{
  "formula": "SbPSe2N",
  "functional": "PBEsol",
  "state": "relaxed",
  "lattice": [[-2.3360, -1.9904, 1.4266], [3.6209, -3.1888, 1.4799], [0.4739, 2.5477, 4.3306]],
  "species": ["Sb", "N", "Se", "Se", "P"],
  "fractional_positions": [[0.5000, 0.5000, 0.5000], [0.5000, 0.0000, 0.0000], [0.0000, 0.0000, 0.5000], [0.0000, 0.5000, 0.0000], [0.0000, 0.0000, 0.0000]],
  "dft_energy_ev_per_atom": -4.97,
  "e_form_raw_ev_per_atom": 0.3417,
  "magmom_total_mub_per_fu": 0.00
}

{
  "formula": "Zn",
  "functional": "PBEsol",
  "state": "relaxed",
  "lattice": [[2.7131, 0.0000, 0.0000], [1.3565, 2.3496, 0.0000], [1.3565, 0.7832, 2.2152]],
  "species": ["Zn"],
  "fractional_positions": [[0.5000, 0.5000, 0.5000]],
  "de_polymorph_mev_per_atom": 21,
  "dft_energy_ev_per_atom": -1.56,
  "formation_enthalpy_0k_ev_per_atom": 0.0207,
  "magmom_total_mub_per_fu": 0.00
}

{
  "formula": "Ca19Ag8N7",
  "functional": "PBEsol",
  "state": "relaxed",
  "lattice": [[10.1465, 0.0000, 0.0000], [5.0732, 8.7871, 0.0000], [5.0732, 2.9290, 8.2846]],
  "species": ["Ca", "Ca", "Ca", "Ca", "Ca", "Ca", "Ca", "Ca", "Ca", "Ca", "Ca", "Ca", "Ca", "Ca", "Ca", "Ca", "Ca", "Ca", "Ca", "Ag", "Ag", "Ag", "Ag", "Ag", "Ag", "Ag", "Ag", "N", "N", "N", "N", "N", "N", "N"],
  "fractional_positions": [[0.1694, 0.5000, 0.5000], [0.5000, 0.5000, 0.5000], [0.1651, 0.1651, 0.8349], [0.8349, 0.1651, 0.1651], [0.1651, 0.8349, 0.8349], [0.1651, 0.8349, 0.1651], [0.8349, 0.1651, 0.8349], [0.8349, 0.8349, 0.1651], [0.8306, 0.5000, 0.5000], [0.5000, 0.5000, 0.8306], [0.8306, 0.1694, 0.5000], [0.5000, 0.8306, 0.5000], [0.8306, 0.5000, 0.1694], [0.5000, 0.1694, 0.8306], [0.5000, 0.8306, 0.1694], [0.1694, 0.8306, 0.5000], [0.5000, 0.1694, 0.5000], [0.1694, 0.5000, 0.8306], [0.5000, 0.5000, 0.1694], [0.1779, 0.1779, 0.4662], [0.8221, 0.5338, 0.8221], [0.5338, 0.8221, 0.8221], [0.8221, 0.8221, 0.8221], [0.4662, 0.1779, 0.1779], [0.1779, 0.1779, 0.1779], [0.1779, 0.4662, 0.1779], [0.8221, 0.8221, 0.5338], [0.0000, 0.0000, 0.0000], [0.6739, 0.6739, 0.3261], [0.6739, 0.3261, 0.6739], [0.3261, 0.6739, 0.3261], [0.3261, 0.6739, 0.6739], [0.6739, 0.3261, 0.3261], [0.3261, 0.3261, 0.6739]],
  "dft_energy_ev_per_atom": -4.32,
  "e_form_raw_ev_per_atom": -0.5892,
  "magmom_total_mub_per_fu": 0.00
}

{
  "formula": "Cu3ReF",
  "functional": "PBEsol",
  "state": "relaxed",
  "lattice": [[4.5945, 0.0000, 0.0000], [0.0000, 4.5945, 0.0000], [0.0000, 0.0000, 4.5945]],
  "species": ["Re", "Cu", "Cu", "Cu", "F"],
  "fractional_positions": [[0.0000, 0.0000, 0.0000], [0.0000, 0.5000, 0.0000], [0.0000, 0.0000, 0.5000], [0.5000, 0.0000, 0.0000], [0.5000, 0.5000, 0.5000]],
  "dft_energy_ev_per_atom": -4.07,
  "e_form_raw_ev_per_atom": 1.5792,
  "magmom_total_mub_per_fu": 0.00
}

{
  "formula": "LiCuMo2",
  "functional": "PBEsol",
  "state": "relaxed",
  "lattice": [[3.2041, 0.0000, 0.0000], [0.0000, 4.3278, 0.0000], [-1.6021, -2.1639, 3.9315]],
  "species": ["Cu", "Li", "Mo", "Mo"],
  "fractional_positions": [[0.5089, 0.5089, 0.0178], [0.2390, 0.7390, 0.4781], [0.0090, 0.0090, 0.0179], [0.7431, 0.2431, 0.4862]],
  "de_polymorph_mev_per_atom": 84,
  "dft_energy_ev_per_atom": -7.04,
  "formation_enthalpy_0k_ev_per_atom": 0.4239,
  "magmom_total_mub_per_fu": 0.00
}

{
  "formula": "Hf2MgAgHg",
  "functional": "PBEsol",
  "state": "relaxed",
  "lattice": [[4.5756, 0.0000, 0.0000], [0.0000, 5.0012, 0.0000], [0.0000, 0.0000, 5.0012]],
  "species": ["Mg", "Hf", "Hf", "Hg", "Ag"],
  "fractional_positions": [[0.0000, 0.0000, 0.0000], [0.0000, 0.0000, 0.5000], [0.0000, 0.5000, 0.0000], [0.5000, 0.5000, 0.5000], [0.5000, 0.0000, 0.0000]],
  "dft_energy_ev_per_atom": -4.22,
  "formation_enthalpy_0k_ev_per_atom": 1.1038,
  "magmom_total_mub_per_fu": 0.00
}

{
  "formula": "CaMnNi",
  "functional": "PBEsol",
  "state": "relaxed",
  "lattice": [[3.9384, 0.0000, 0.0000], [-1.9692, 3.4108, 0.0000], [0.0000, 0.0000, 4.2654]],
  "species": ["Ni", "Ca", "Mn"],
  "fractional_positions": [[0.6667, 0.3333, 0.5000], [0.0000, 0.0000, 0.0000], [0.3333, 0.6667, 0.5000]],
  "dft_energy_ev_per_atom": -5.71,
  "formation_enthalpy_0k_ev_per_atom": 0.3101,
  "magmom_total_mub_per_fu": 3.25
}

{
  "formula": "TaFeAg2",
  "functional": "PBEsol",
  "state": "relaxed",
  "lattice": [[2.7499, 0.0000, 0.0000], [-1.3750, 4.5329, 0.0008], [0.0000, -0.8437, 4.9543]],
  "species": ["Ag", "Ag", "Fe", "Ta"],
  "fractional_positions": [[0.0010, 0.0021, 0.0076], [0.7563, 0.5125, 0.2472], [0.4996, 0.9991, 0.5166], [0.2431, 0.4862, 0.7286]],
  "de_polymorph_mev_per_atom": 0,
  "dft_energy_ev_per_atom": -6.67,
  "formation_enthalpy_0k_ev_per_atom": 0.3664,
  "magmom_total_mub_per_fu": 2.05
}

Sequential Fermi-level density of states output: 9.780 3.871 0.000 6.553 2.135 1.613 2.383 1.565 2.597 0.968 0.000 5.430 3.002 0.219 19.762 3.038 3.140 4.042 2.706 3.763 states/eV per cell